Record 1
Pr2BeGa: relaxed, PBE-GGA.

Results
Calculated formation energy in eV per atom: 0.53
ΔE to the lowest computed polymorph in eV/f.u.: 2.721

Cell lengths 3.5220, 3.5220, 32.0796 Å; angles 90.00, 90.00, 120.00 degrees
Space group R-3m (No. 166, hexagonal axes)
Symmetry-distinct sites (fractional):
Pr: 0.0000 0.0000 0.0945
Be: 0.0000 0.0000 0.0000
Ga: 0.0000 0.0000 0.5000

---

Record 2
Pr2Be4GaPt3: relaxed, PBE-GGA.

Results
Calculated formation energy in eV per atom: -0.69

Cell lengths 4.077, 4.077, 9.878 Å; angles 90.00, 90.00, 90.00 degrees
Space group P-4m2 (No. 115)
Symmetry-distinct sites (fractional):
Pr: 0.000 0.500 0.249
Be: 0.000 0.000 0.000
Be: 0.000 0.500 0.634
Be: 0.500 0.500 0.000
Ga: 0.000 0.000 0.500
Pt: 0.000 0.500 0.884
Pt: 0.500 0.500 0.500

---

Record 3
PrBeGaPt2: relaxed, PBE-GGA.

Results
Calculated formation energy in eV per atom: -0.82

Cell lengths 4.109, 4.109, 10.968 Å; angles 90.00, 90.00, 90.00 degrees
Space group I-4m2 (No. 119)
Symmetry-distinct sites (fractional):
Pr: 0.000 0.000 0.000
Be: 0.000 0.500 0.750
Ga: 0.000 0.500 0.250
Pt: 0.000 0.000 0.375

---

Record 4
PrBeGaPt3: relaxed, PBE-GGA.

Results
Calculated formation energy in eV per atom: -0.77

Cell lengths 6.285, 12.205, 5.696 Å; angles 90.00, 90.00, 90.00 degrees
Space group Cmcm (No. 63)
Symmetry-distinct sites (fractional):
Pr: 0.000 0.227 0.250
Be: 0.000 0.483 0.250
Ga: 0.000 0.130 0.750
Pt: 0.000 0.329 0.750
Pt: 0.228 0.000 0.000

---

Record 5
PrBeGa2Rh2: relaxed, PBE-GGA.

Results
Calculated formation energy in eV per atom: -0.65

Cell lengths 4.251, 4.251, 5.712 Å; angles 90.00, 90.00, 90.00 degrees
Space group P4/mmm (No. 123)
Symmetry-distinct sites (fractional):
Pr: 0.000 0.000 0.000
Be: 0.000 0.000 0.500
Ga: 0.500 0.500 0.234
Rh: 0.000 0.500 0.500

---

Record 6
PrBeGa2Ru2: relaxed, PBE-GGA.

Results
Calculated formation energy in eV per atom: -0.45

Cell lengths 4.324, 4.324, 5.521 Å; angles 90.00, 90.00, 90.00 degrees
Space group P4/mmm (No. 123)
Symmetry-distinct sites (fractional):
Pr: 0.000 0.000 0.000
Be: 0.000 0.000 0.500
Ga: 0.500 0.500 0.243
Ru: 0.000 0.500 0.500

---

Record 7
PrScBeGa: relaxed, PBE-GGA.

Results
Calculated formation energy in eV per atom: -0.19

Cell lengths 6.949, 6.949, 6.949 Å; angles 90.00, 90.00, 90.00 degrees
Space group F-43m (No. 216)
Symmetry-distinct sites (fractional):
Pr: 0.000 0.000 0.000
Sc: 0.000 0.000 0.500
Be: 0.250 0.250 0.250
Ga: 0.250 0.250 0.750

---

Record 8
Pr2Be4GaSi3: relaxed, PBE-GGA.

Results
Formation energy without anion corrections in meV/atom: -372.3

Cell lengths 4.033, 4.033, 9.700 Å; angles 90.00, 90.00, 90.00 degrees
Space group P-4m2 (No. 115)
Symmetry-distinct sites (fractional):
Pr: 0.000 0.500 0.246
Be: 0.000 0.000 0.000
Be: 0.000 0.500 0.634
Be: 0.500 0.500 0.000
Ga: 0.000 0.000 0.500
Si: 0.000 0.500 0.874
Si: 0.500 0.500 0.500

---

Record 9
BeGaPt2: relaxed, PBE-GGA.

Results
Calculated formation energy in eV per atom: -0.59

Cell lengths 3.7119, 3.7119, 14.7072 Å; angles 90.00, 90.00, 120.00 degrees
Space group R3m (No. 160, hexagonal axes)
Symmetry-distinct sites (fractional):
Be: 0.0000 0.0000 0.0000
Ga: 0.0000 0.0000 0.8278
Pt: 0.0000 0.0000 0.3957
Pt: 0.0000 0.0000 0.5959

---

Record 10
BeGaPt: relaxed, PBE-GGA.

Results
Calculated formation energy in eV per atom: -0.51
ΔE to the lowest computed polymorph in eV/f.u.: 0.000

Cell lengths 3.378, 3.378, 7.269 Å; angles 90.00, 90.00, 90.00 degrees
Space group P4/nmm (No. 129, origin choice 2)
Symmetry-distinct sites (fractional):
Be: 0.250 0.750 0.000
Ga: 0.250 0.250 0.382
Pt: 0.250 0.250 0.771

---

Record 11
Be3GaPt: relaxed, PBE-GGA.

Results
Calculated formation energy in eV per atom: 0.20
ΔE to the lowest computed polymorph in eV/f.u.: 0.000

Cell lengths 4.306, 4.306, 4.306 Å; angles 90.00, 90.00, 90.00 degrees
Space group Pm-3m (No. 221)
Symmetry-distinct sites (fractional):
Be: 0.000 0.000 0.500
Ga: 0.500 0.500 0.500
Pt: 0.000 0.000 0.000

---

Record 12
BeGaPt2: relaxed, PBE-GGA.

Results
Calculated formation energy in eV per atom: -0.05

Cell lengths 2.772, 4.588, 9.728 Å; angles 90.00, 90.00, 90.00 degrees
Space group Immm (No. 71)
Symmetry-distinct sites (fractional):
Be: 0.000 0.000 0.000
Ga: 0.000 0.000 0.500
Pt: 0.000 0.000 0.222

---

no.,DFT total energy (eV for the cell shown)
1,-42.6
2,-52.5
3,-55.4
4,-137.1
5,-33.2
6,-35.8
7,-74.5
8,-47.5
9,-63.6
10,-28.6
11,-19.2
12,-38.0